Entry 1:
{
  "formula": "CeAlSe2",
  "functional": "PBE",
  "state": "relaxed",
  "de_polymorph_mev_per_atom": 0,
  "m_tot_mub_per_atom": 0.21,
  "raw_formation_energy_ev_per_atom": -0.869,
  "lattice_angstrom": [[4.224, 0.000, 0.000], [-2.112, 3.658, 0.000], [0.000, 0.000, 26.071]],
  "species": ["Ce", "Ce", "Ce", "Al", "Al", "Al", "Se", "Se", "Se", "Se", "Se", "Se"],
  "frac_coords": [[0.000, 0.329, 0.333], [0.329, 0.000, 0.667], [0.671, 0.671, 0.000], [0.000, 0.335, 0.833], [0.335, 0.000, 0.167], [0.665, 0.665, 0.500], [0.004, 0.337, 0.938], [0.333, 0.996, 0.271], [0.337, 0.004, 0.062], [0.663, 0.667, 0.605], [0.667, 0.663, 0.395], [0.996, 0.333, 0.729]]
}

Entry 2:
{
  "formula": "Ho2Cd3",
  "functional": "PBE",
  "state": "relaxed",
  "de_polymorph_mev_per_atom": 0,
  "m_tot_mub_per_atom": 0.00,
  "delta_e_f_kj_per_mol_atoms": -27,
  "lattice_angstrom": [[1.724, -14.728, 0.000], [1.724, 14.728, 0.000], [0.000, 0.000, 4.943]],
  "species": ["Ho", "Ho", "Ho", "Ho", "Cd", "Cd", "Cd", "Cd", "Cd", "Cd"],
  "frac_coords": [[0.075, 0.925, 0.750], [0.216, 0.784, 0.250], [0.784, 0.216, 0.750], [0.925, 0.075, 0.250], [0.325, 0.675, 0.250], [0.379, 0.621, 0.750], [0.476, 0.524, 0.750], [0.524, 0.476, 0.250], [0.621, 0.379, 0.250], [0.675, 0.325, 0.750]]
}

Entry 3:
{
  "formula": "CuRuPt2",
  "functional": "PBE",
  "state": "relaxed",
  "de_polymorph_mev_per_atom": 34,
  "m_tot_mub_per_atom": 0.00,
  "delta_e_f_kj_per_mol_atoms": -1,
  "lattice_angstrom": [[2.722, -3.894, 0.000], [2.722, 3.894, 0.000], [0.000, 0.000, 2.721]],
  "species": ["Cu", "Ru", "Pt", "Pt"],
  "frac_coords": [[0.000, 0.000, 0.000], [0.500, 0.500, 0.000], [0.000, 0.500, 0.500], [0.500, 0.000, 0.500]]
}

Entry 4:
{
  "formula": "NdMnN",
  "functional": "PBE",
  "state": "relaxed",
  "de_polymorph_mev_per_atom": 192,
  "m_tot_mub_per_atom": 0.03,
  "raw_formation_energy_ev_per_atom": -0.207,
  "lattice_angstrom": [[3.250, 0.000, 0.000], [-1.625, 2.815, 0.000], [0.000, 0.000, 4.939]],
  "species": ["Nd", "Mn", "N"],
  "frac_coords": [[0.000, 0.000, 0.000], [0.667, 0.333, 0.459], [0.333, 0.667, 0.382]]
}

Entry 5:
{
  "formula": "Li2TiAsPd",
  "functional": "PBE",
  "state": "relaxed",
  "m_tot_mub_per_atom": 0.38,
  "delta_e_f_kj_per_mol_atoms": 75,
  "lattice_angstrom": [[4.820, 0.000, 0.000], [0.000, 4.820, 0.000], [0.000, 0.000, 4.582]],
  "species": ["Li", "Li", "Ti", "As", "Pd"],
  "frac_coords": [[0.000, 0.500, 0.000], [0.500, 0.000, 0.000], [0.000, 0.000, 0.000], [0.500, 0.500, 0.500], [0.000, 0.000, 0.500]]
}

Entry 6:
{
  "formula": "Nd3CdSn3",
  "functional": "PBE",
  "state": "relaxed",
  "de_polymorph_mev_per_atom": 245,
  "m_tot_mub_per_atom": 0.00,
  "delta_e_f_kj_per_mol_atoms": -41,
  "lattice_angstrom": [[9.415, 0.000, 0.000], [-4.708, 8.154, 0.000], [0.000, 0.000, 6.348]],
  "species": ["Nd", "Nd", "Nd", "Nd", "Nd", "Nd", "Cd", "Cd", "Sn", "Sn", "Sn", "Sn", "Sn", "Sn"],
  "frac_coords": [[0.050, 0.684, 0.250], [0.316, 0.366, 0.250], [0.366, 0.050, 0.750], [0.634, 0.950, 0.250], [0.684, 0.634, 0.750], [0.950, 0.316, 0.750], [0.333, 0.667, 0.750], [0.667, 0.333, 0.250], [0.043, 0.697, 0.750], [0.303, 0.346, 0.750], [0.346, 0.043, 0.250], [0.654, 0.957, 0.750], [0.697, 0.654, 0.250], [0.957, 0.303, 0.250]]
}